(1)
Below is a relaxed LiHg2BiI crystal, with properties calculated at the PBE level.

Results
total moment = 0.000 μB/atom
ΔE_f (raw) = -0.67 eV per formula unit

Lattice parameters (Å, degrees): 5.7890 5.7890 5.5807 90.00 90.00 90.00
Atoms (fractional coordinates):
Hg 0.0000 0.5000 0.0000
Li 0.0000 0.0000 0.5000
Bi 0.0000 0.0000 0.0000
Hg 0.5000 0.0000 0.0000
I 0.5000 0.5000 0.5000


(2)
Below is a relaxed Ac2PrThSb4 crystal, with properties calculated at the PBE level.

Results
total moment = 0.000 μB/atom
ΔE_f (raw) = -9.15 eV per formula unit

Lattice parameters (Å, degrees): 4.6513 8.0489 8.0989 109.32 90.00 90.00
Atoms (fractional coordinates):
Sb 0.5000 0.7519 0.7647
Th 0.5000 0.5000 0.0000
Sb 0.0000 0.2577 0.7663
Ac 0.5000 0.0000 0.5000
Sb 0.5000 0.2481 0.2353
Ac 0.0000 0.5000 0.5000
Pr 0.0000 0.0000 0.0000
Sb 0.0000 0.7423 0.2337


(3)
Below is a relaxed AlGe2S6 crystal, with properties calculated at the PBE level.

Results
total moment = 0.000 μB/atom
ΔE_f (raw) = -3.02 eV per formula unit

Lattice parameters (Å, degrees): 6.3453 7.8289 7.8289 84.58 81.26 81.26
Atoms (fractional coordinates):
S 0.6393 0.2834 0.4675
S 0.8684 0.8826 0.3788
S 0.1393 0.4675 0.2834
Ge 0.1677 0.6126 0.7801
Ge 0.8323 0.3874 0.2199
S 0.1157 0.8156 0.9741
S 0.8607 0.5325 0.7166
Al 0.7500 0.8955 0.1045
Ge 0.6677 0.7801 0.6126
Al 0.2500 0.1045 0.8955
S 0.6157 0.9741 0.8156
S 0.8843 0.1844 0.0259
S 0.3843 0.0259 0.1844
S 0.1316 0.1174 0.6212
S 0.6316 0.6212 0.1174
S 0.3607 0.7166 0.5325
S 0.3684 0.3788 0.8826
Ge 0.3323 0.2199 0.3874


(4)
Below is a relaxed CsCd3C crystal, with properties calculated at the PBE level.

Results
calculated formation energy = 851 kJ/mol of formula units
total moment = 0.547 μB/atom

Lattice parameters (Å, degrees): 7.6606 7.6606 7.6606 90.00 90.00 90.00
Atoms (fractional coordinates):
Cd 0.0000 0.5000 0.0000
Cs 0.0000 0.0000 0.0000
Cd 0.0000 0.0000 0.5000
Cd 0.5000 0.0000 0.0000
C 0.5000 0.5000 0.5000


(5)
Below is a relaxed TeOsSCl2 crystal, with properties calculated at the PBE level.

Results
total moment = 0.937 μB/atom
ΔE_f (raw) = 6.80 eV per formula unit

Lattice parameters (Å, degrees): 5.2698 5.2698 5.2329 90.00 90.00 90.00
Atoms (fractional coordinates):
Te 0.0000 0.0000 0.0000
S 0.0000 0.0000 0.5000
Cl 0.5000 0.0000 0.0000
Os 0.5000 0.5000 0.5000
Cl 0.0000 0.5000 0.0000


(6)
Below is a relaxed Ho2ScTl crystal, with properties calculated at the PBE level.

Results
calculated formation energy = -37 kJ/mol of formula units
total moment = 0.088 μB/atom

Lattice parameters (Å, degrees): 3.4973 3.4973 10.8671 80.74 80.74 60.00
Atoms (fractional coordinates):
Ho 0.0833 0.0833 0.7501
Ho 0.2501 0.2501 0.2498
Tl 0.6667 0.6667 0.9999
Sc 0.4999 0.4999 0.5002


(7)
Below is a relaxed SrZn9Pd3 crystal, with properties calculated at the PBE level.

Results
calculated formation energy = -436 kJ/mol of formula units
total moment = 0.000 μB/atom

Lattice parameters (Å, degrees): 5.3555 6.8832 7.0112 81.10 67.55 66.10
Atoms (fractional coordinates):
Zn 0.2677 0.2265 0.2289
Zn 0.5034 0.7735 0.2289
Zn 0.0100 0.6523 0.3549
Zn 0.7323 0.7735 0.7711
Pd 0.5000 0.5000 0.0000
Zn 0.3649 0.6523 0.6451
Zn 0.0000 0.5000 0.0000
Zn 0.9900 0.3477 0.6451
Zn 0.6351 0.3477 0.3549
Pd 0.0000 0.0000 0.5000
Sr 0.0000 0.0000 0.0000
Pd 0.5000 0.0000 0.5000
Zn 0.4966 0.2265 0.7711


(8)
Below is a relaxed Sb5Os4 crystal, with properties calculated at the PBE level.

Results
total moment = 0.000 μB/atom
ΔE_f (raw) = 7.36 eV per formula unit

Lattice parameters (Å, degrees): 6.7681 6.7681 6.7681 95.89 95.89 142.62
Atoms (fractional coordinates):
Sb 0.3230 0.3230 0.6460
Sb 0.6770 0.6770 0.3540
Sb 0.0000 0.0000 0.0000
Sb 0.6770 0.3230 0.0000
Os 0.6416 0.0000 0.6416
Os 0.3584 0.0000 0.3584
Os 0.0000 0.3584 0.3584
Sb 0.3230 0.6770 0.0000
Os 0.0000 0.6416 0.6416


(9)
Below is a relaxed Li2MnCdNi crystal, with properties calculated at the PBE level.

Results
calculated formation energy = 505 kJ/mol of formula units
total moment = 0.882 μB/atom

Lattice parameters (Å, degrees): 4.5558 5.0529 4.5558 90.00 90.00 90.00
Atoms (fractional coordinates):
Cd 0.0000 0.5000 0.0000
Mn 0.0000 0.0000 0.0000
Li 0.0000 0.0000 0.5000
Ni 0.5000 0.5000 0.5000
Li 0.5000 0.0000 0.0000


Number 1: uncorrected energy -8.6 eV per formula unit. Number 2: uncorrected energy -46.1 eV per formula unit. Number 3: uncorrected energy -40.8 eV per formula unit. Number 4: uncorrected energy -4.0 eV per formula unit. Number 5: uncorrected energy -15.4 eV per formula unit. Number 6: uncorrected energy -18.2 eV per formula unit. Number 7: uncorrected energy -33.2 eV per formula unit. Number 8: uncorrected energy -58.2 eV per formula unit. Number 9: uncorrected energy -14.5 eV per formula unit.